LiVTe2WO12: relaxed, PBE with a Hubbard U.

a = 5.127 Å, b = 5.295 Å, c = 7.387 Å
α = 93.03°, β = 90.10°, γ = 90.13°
Element x y z (fractional)
Li  0.000  0.000  0.000
V  0.007  0.583  0.213
Te  0.505  0.088  0.198
Te  0.997  0.594  0.702
W  0.494  0.097  0.694
O  0.106  0.606  0.947
O  0.185  0.285  0.641
O  0.192  0.900  0.243
O  0.295  0.399  0.249
O  0.305  0.788  0.640
O  0.378  0.099  0.947
O  0.610  0.101  0.449
O  0.686  0.404  0.751
O  0.712  0.799  0.137
O  0.804  0.294  0.136
O  0.810  0.911  0.756
O  0.892  0.600  0.446

Properties
- calculated density (g/cm³) = 5.71
- SG = P1 (1)
- final energy (eV/atom) = -6.23
- calculated volume (Å³ per cell) = 200.23